Here is a relaxed structure of KPrF4 from Alexandria. Energies are from GGA-PBE.

Unit cell a=3.811 b=6.320 c=15.847 alpha=90.00 beta=90.00 gamma=90.00
Site moments in Bohr magnetons follow the coordinates.
Element x y z (fractional)
F: 0.750 0.365 0.464  0.00
F: 0.250 0.635 0.536  0.00
K: 0.750 0.279 0.797  0.00
F: 0.250 0.091 0.693  0.05
K: 0.750 0.779 0.703  0.00
K: 0.250 0.721 0.203  0.00
Pr: 0.750 0.249 0.061  0.00
F: 0.250 0.603 0.365  0.02
F: 0.250 0.006 0.442  0.00
K: 0.250 0.221 0.297  0.00
Pr: 0.250 0.251 0.561  0.00
F: 0.250 0.506 0.058  0.00
F: 0.250 0.103 0.135  0.02
F: 0.750 0.897 0.865  0.02
F: 0.750 0.909 0.307  0.05
F: 0.750 0.865 0.036  0.00
F: 0.250 0.591 0.807  0.05
F: 0.750 0.397 0.635  0.02
F: 0.250 0.135 0.964  0.00
Pr: 0.250 0.751 0.939  0.00
Pr: 0.750 0.749 0.439  0.00
F: 0.750 0.494 0.942  0.00
F: 0.750 0.409 0.193  0.05
F: 0.750 0.994 0.558  0.00

spin magnetization: 0.0153 μB per atom
mass density: 4.455 Mg/m³
space group: No. 62
density of states at the Fermi level: 0.0 states/eV/cell
total DFT energy (no corrections): -5.92 eV per atom